A plane-wave DFT calculation with GGA-PBE was carried out for a relaxed ThBr4 crystal.

a = 8.414 Å, b = 8.414 Å, c = 8.414 Å
α = 131.53°, β = 131.53°, γ = 70.97°
Atoms (fractional coordinates):
Th1 0.500 0.500 0.000
Th2 0.250 0.750 0.500
Br1 0.642 0.758 0.552
Br2 0.508 0.457 0.616
Br3 0.108 0.492 0.948
Br4 0.543 0.160 0.052
Br5 0.840 0.892 0.384
Br6 0.207 0.090 0.448
Br7 0.910 0.358 0.116
Br8 0.242 0.793 0.884

Values from the calculation:
- DFT total energy (eV per formula unit) = -22.67